(1)
This record from Alexandria describes an optimized crystal structure of AcHo2Hg. The functional is PBE.

a = 3.7381 Å, b = 3.7381 Å, c = 10.9063 Å
α = 80.13°, β = 80.13°, γ = 60.00°
Last column: nearest neighbours and their distance in Å.
Fractional positions:
Ac 0.5000 0.5000 0.5000  6 Ho 3.73, 6 Ac 3.74
Ho 0.2616 0.2616 0.2152  3 Hg 3.15
Ho 0.7384 0.7384 0.7848  3 Hg 3.15
Hg 0.0000 0.0000 0.0000  6 Ho 3.15

Properties
Formation energy from the elements (eV/f.u.): -0.58
Total magnetization (Bohr magnetons per cell): 0.00
ΔE to the lowest computed polymorph (meV per atom): 56
Space group: R-3m (166)

(2)
This record from Alexandria describes an optimized crystal structure of AcHoHg2. The functional is PBE.

a = 3.9086 Å, b = 3.9086 Å, c = 9.8143 Å
α = 78.51°, β = 78.51°, γ = 60.00°
Last column: nearest neighbours and their distance in Å.
Fractional positions:
Hg 0.7414 0.7414 0.7759  3 Ho 3.11, 3 Ac 3.47
Hg 0.2586 0.2586 0.2241  3 Ho 3.11, 3 Ac 3.47
Ac 0.5000 0.5000 0.5000  6 Hg 3.47
Ho 0.0000 0.0000 0.0000  6 Hg 3.11

Properties
Formation energy from the elements (eV/f.u.): -1.24
Total magnetization (Bohr magnetons per cell): 0.00
Space group: R-3m (166)